P:
{
  "formula": "CsZrBe3",
  "functional": "PBE-GGA",
  "state": "optimized geometry",
  "magmom_total_mub_per_fu": 2.390,
  "dos_at_fermi_per_ev_cell": 6.25,
  "sg": "No. 221",
  "lattice": [[5.267, 0.000, 0.000], [0.000, 5.267, 0.000], [0.000, 0.000, 5.267]],
  "species": ["Cs", "Zr", "Be", "Be", "Be"],
  "frac_coords": [[0.000, 0.000, 0.000], [0.500, 0.500, 0.500], [0.000, 0.500, 0.500], [0.500, 0.000, 0.500], [0.500, 0.500, 0.000]]
}

---

Q:
{
  "formula": "CsZrBe3",
  "functional": "PBE-GGA",
  "state": "optimized geometry",
  "magmom_total_mub_per_fu": 0.000,
  "dos_at_fermi_per_ev_cell": 3.07,
  "sg": "No. 221",
  "lattice": [[4.788, 0.000, 0.000], [0.000, 4.788, 0.000], [0.000, 0.000, 4.788]],
  "species": ["Cs", "Zr", "Be", "Be", "Be"],
  "frac_coords": [[0.000, 0.000, 0.000], [0.500, 0.500, 0.500], [0.000, 0.000, 0.500], [0.000, 0.500, 0.000], [0.500, 0.000, 0.000]]
}

---

Quick ranking, most stable first: P, Q.

---

P:
{
  "formula": "Be2Cu",
  "functional": "PBE-GGA",
  "state": "optimized geometry",
  "magmom_total_mub_per_fu": 0.000,
  "dos_at_fermi_per_ev_cell": 1.45,
  "sg": "No. 227",
  "lattice": [[0.000, 2.998, 2.998], [2.998, 0.000, 2.998], [2.998, 2.998, 0.000]],
  "species": ["Be", "Be", "Be", "Be", "Cu", "Cu"],
  "frac_coords": [[0.000, 0.000, 0.000], [0.000, 0.000, 0.500], [0.000, 0.500, 0.000], [0.500, 0.000, 0.000], [0.375, 0.375, 0.375], [0.625, 0.625, 0.625]]
}

---

Q:
{
  "formula": "Be2Cu",
  "functional": "PBE-GGA",
  "state": "optimized geometry",
  "magmom_total_mub_per_fu": 0.000,
  "dos_at_fermi_per_ev_cell": 1.05,
  "sg": "No. 160",
  "lattice": [[1.213, 0.700, 5.630], [-1.213, 0.700, 5.630], [0.000, -1.400, 5.630]],
  "species": ["Be", "Be", "Cu"],
  "frac_coords": [[0.000, 0.000, 0.000], [0.228, 0.228, 0.228], [0.447, 0.447, 0.447]]
}

---

Quick ranking, most stable first: P, Q.

---

P:
{
  "formula": "Be2Cu",
  "functional": "PBE-GGA",
  "state": "optimized geometry",
  "magmom_total_mub_per_fu": 0.000,
  "dos_at_fermi_per_ev_cell": 0.94,
  "sg": "No. 12",
  "lattice": [[4.042, -1.310, 0.000], [4.042, 1.310, 0.000], [-1.822, 0.000, 5.255]],
  "species": ["Be", "Be", "Be", "Be", "Cu", "Cu"],
  "frac_coords": [[0.000, 0.000, 0.000], [0.000, 0.000, 0.500], [0.337, 0.337, 0.658], [0.663, 0.663, 0.342], [0.338, 0.338, 0.190], [0.662, 0.662, 0.810]]
}

---

Q:
{
  "formula": "Be2Cu",
  "functional": "PBE-GGA",
  "state": "optimized geometry",
  "magmom_total_mub_per_fu": 0.000,
  "dos_at_fermi_per_ev_cell": 1.28,
  "sg": "No. 65",
  "lattice": [[1.816, -5.458, 0.000], [1.816, 5.458, 0.000], [0.000, 0.000, 2.792]],
  "species": ["Be", "Be", "Be", "Be", "Cu", "Cu"],
  "frac_coords": [[0.000, 0.000, 0.000], [0.164, 0.836, 0.500], [0.500, 0.500, 0.500], [0.836, 0.164, 0.500], [0.337, 0.663, 0.000], [0.663, 0.337, 0.000]]
}

---

R:
{
  "formula": "Be2Cu",
  "functional": "PBE-GGA",
  "state": "optimized geometry",
  "magmom_total_mub_per_fu": 0.000,
  "dos_at_fermi_per_ev_cell": 2.94,
  "sg": "No. 194",
  "lattice": [[3.783, 0.000, 0.000], [-1.892, 3.276, 0.000], [0.000, 0.000, 4.516]],
  "species": ["Be", "Be", "Be", "Be", "Cu", "Cu"],
  "frac_coords": [[0.000, 0.000, 0.000], [0.000, 0.000, 0.500], [0.333, 0.667, 0.250], [0.667, 0.333, 0.750], [0.333, 0.667, 0.750], [0.667, 0.333, 0.250]]
}

---

Quick ranking, most stable first: Q, P, R.

---

P:
{
  "formula": "Be2Cu",
  "functional": "PBE-GGA",
  "state": "optimized geometry",
  "magmom_total_mub_per_fu": 0.000,
  "dos_at_fermi_per_ev_cell": 2.34,
  "sg": "No. 141",
  "lattice": [[-1.631, 1.631, 10.456], [1.631, -1.631, 10.456], [1.631, 1.631, -10.456]],
  "species": ["Be", "Be", "Be", "Be", "Be", "Be", "Be", "Be", "Cu", "Cu", "Cu", "Cu"],
  "frac_coords": [[0.125, 0.375, 0.750], [0.293, 0.543, 0.750], [0.375, 0.125, 0.250], [0.457, 0.707, 0.750], [0.543, 0.293, 0.250], [0.625, 0.875, 0.750], [0.707, 0.457, 0.250], [0.875, 0.625, 0.250], [0.046, 0.796, 0.250], [0.204, 0.954, 0.250], [0.796, 0.046, 0.750], [0.954, 0.204, 0.750]]
}

---

Q:
{
  "formula": "Be2Cu",
  "functional": "PBE-GGA",
  "state": "optimized geometry",
  "magmom_total_mub_per_fu": 0.000,
  "dos_at_fermi_per_ev_cell": 0.66,
  "sg": "No. 12",
  "lattice": [[4.105, -1.272, 0.000], [4.105, 1.272, 0.000], [-1.942, 0.000, 5.278]],
  "species": ["Be", "Be", "Be", "Be", "Cu", "Cu"],
  "frac_coords": [[0.027, 0.027, 0.254], [0.347, 0.347, 0.955], [0.653, 0.653, 0.045], [0.973, 0.973, 0.746], [0.334, 0.334, 0.376], [0.666, 0.666, 0.624]]
}

---

R:
{
  "formula": "Be2Cu",
  "functional": "PBE-GGA",
  "state": "optimized geometry",
  "magmom_total_mub_per_fu": 0.000,
  "dos_at_fermi_per_ev_cell": 1.13,
  "sg": "No. 63",
  "lattice": [[1.265, -6.006, 0.000], [1.265, 6.006, 0.000], [0.000, 0.000, 3.765]],
  "species": ["Be", "Be", "Be", "Be", "Cu", "Cu"],
  "frac_coords": [[0.057, 0.943, 0.750], [0.399, 0.601, 0.750], [0.601, 0.399, 0.250], [0.943, 0.057, 0.250], [0.285, 0.715, 0.250], [0.715, 0.285, 0.750]]
}

---

Quick ranking, most stable first: Q, P, R.

---

P:
{
  "formula": "Be2Cu",
  "functional": "PBE-GGA",
  "state": "optimized geometry",
  "magmom_total_mub_per_fu": 0.000,
  "dos_at_fermi_per_ev_cell": 0.91,
  "sg": "No. 187",
  "lattice": [[2.420, 0.000, 0.000], [-1.210, 2.096, 0.000], [0.000, 0.000, 6.033]],
  "species": ["Be", "Be", "Cu"],
  "frac_coords": [[0.000, 0.000, 0.191], [0.000, 0.000, 0.809], [0.333, 0.667, 0.500]]
}

---

Q:
{
  "formula": "Be2Cu",
  "functional": "PBE-GGA",
  "state": "optimized geometry",
  "magmom_total_mub_per_fu": 0.000,
  "dos_at_fermi_per_ev_cell": 0.87,
  "sg": "No. 123",
  "lattice": [[2.989, 0.000, 0.000], [0.000, 2.989, 0.000], [0.000, 0.000, 4.254]],
  "species": ["Be", "Be", "Cu"],
  "frac_coords": [[0.000, 0.000, 0.000], [0.500, 0.500, 0.500], [0.000, 0.000, 0.500]]
}

---

Quick ranking, most stable first: P, Q.

---

P:
{
  "formula": "Be2Cu",
  "functional": "PBE-GGA",
  "state": "optimized geometry",
  "magmom_total_mub_per_fu": 0.000,
  "dos_at_fermi_per_ev_cell": 0.41,
  "sg": "No. 139",
  "lattice": [[-1.348, 1.348, 3.773], [1.348, -1.348, 3.773], [1.348, 1.348, -3.773]],
  "species": ["Be", "Be", "Cu"],
  "frac_coords": [[0.174, 0.174, 0.000], [0.826, 0.826, 0.000], [0.500, 0.500, 0.000]]
}

---

Q:
{
  "formula": "Be2Cu",
  "functional": "PBE-GGA",
  "state": "optimized geometry",
  "magmom_total_mub_per_fu": 0.000,
  "dos_at_fermi_per_ev_cell": 1.93,
  "sg": "No. 194",
  "lattice": [[2.437, 0.000, 0.000], [-1.219, 2.111, 0.000], [0.000, 0.000, 11.162]],
  "species": ["Be", "Be", "Be", "Be", "Cu", "Cu"],
  "frac_coords": [[0.333, 0.667, 0.079], [0.333, 0.667, 0.421], [0.667, 0.333, 0.579], [0.667, 0.333, 0.921], [0.333, 0.667, 0.750], [0.667, 0.333, 0.250]]
}

---

Quick ranking, most stable first: P, Q.